DFT (GGA-PBE) results for crystalline KCrIn2 at its relaxed geometry.

POSCAR file:
```
KCrIn2
1.0
3.5229 0.0000 0.0000
0.0000 3.4779 0.0000
0.0000 0.0000 8.5722
K In Cr
1 2 1
Direct
0.5000 0.5000 0.2500
0.0000 0.0000 0.9357
0.0000 0.0000 0.5643
0.5000 0.5000 0.7500
```

Results
Its energy above the lowest structure with this stoichiometry is 0 meV/atom. Its total energy is -15.37 eV for the cell shown. As for the space group: No. 47. The value obtained for the density of states at the Fermi level is 1.85 states/eV/cell. As for the energy of formation from the pure elements: 80 kJ/mol of formula units.

***

DFT (GGA-PBE) results for crystalline KCrIn2 at its relaxed geometry.

POSCAR file:
```
KCrIn2
1.0
-2.7983 -1.0896 3.5047
2.6044 -0.7528 1.8454
0.3239 7.3496 2.5437
In K Cr
2 1 1
Direct
0.5000 0.1247 0.1968
0.0000 0.1250 0.9267
0.0000 0.6253 0.4947
0.5000 0.6250 0.8818
```

Results
Its energy above the lowest structure with this stoichiometry is 93 meV/atom. Its total energy is -15.00 eV for the cell shown. As for the space group: No. 25. The value obtained for the density of states at the Fermi level is 1.80 states/eV/cell. As for the energy of formation from the pure elements: 116 kJ/mol of formula units.

***

DFT (GGA-PBE) results for crystalline KCrIn2 at its relaxed geometry.

POSCAR file:
```
KCrIn2
1.0
10.5506 -0.1365 -0.0800
10.0347 3.2617 -0.0800
10.0347 1.5235 2.8852
K In Cr
1 2 1
Direct
0.2500 0.2500 0.2500
0.4854 0.4854 0.4854
0.0146 0.0146 0.0146
0.7500 0.7500 0.7500
```

Results
Its energy above the lowest structure with this stoichiometry is 164 meV/atom. Its total energy is -14.71 eV for the cell shown. As for the space group: No. 166. The value obtained for the density of states at the Fermi level is 1.85 states/eV/cell. As for the energy of formation from the pure elements: 143 kJ/mol of formula units.

***

DFT (GGA-PBE) results for crystalline KCrIn at its relaxed geometry.

POSCAR file:
```
KCrIn
1.0
-2.1825 -1.2329 -4.5697
3.0013 -1.3530 -4.0407
0.0557 -4.9381 -1.6666
Cr In K
1 1 1
Direct
0.7500 0.7500 0.7500
0.0000 0.0000 0.0000
0.5000 0.5000 0.5000
```

Results
Its energy above the lowest structure with this stoichiometry is 345 meV/atom. Its total energy is -11.01 eV for the cell shown. As for the space group: No. 216. The value obtained for the density of states at the Fermi level is 2.43 states/eV/cell. As for the energy of formation from the pure elements: 236 kJ/mol of formula units.

***

DFT (GGA-PBE) results for crystalline KCrIn2 at its relaxed geometry.

POSCAR file:
```
KCrIn2
1.0
-5.4017 -1.9216 -1.2540
1.8206 -1.6372 -5.3337
0.4194 -10.1633 0.0340
K In Cr
2 4 2
Direct
0.2500 0.7500 0.5000
0.5000 0.5000 0.0000
0.8756 0.6250 0.2500
0.8750 0.1244 0.7500
0.8744 0.1250 0.2500
0.3750 0.1256 0.7500
0.0000 0.0000 0.0000
0.7500 0.2500 0.5000
```

Results
Its energy above the lowest structure with this stoichiometry is 293 meV/atom. Its total energy is -28.40 eV for the cell shown. As for the space group: No. 141. The value obtained for the density of states at the Fermi level is 5.68 states/eV/cell. As for the energy of formation from the pure elements: 193 kJ/mol of formula units.

***

DFT (GGA-PBE) results for crystalline KCrIn2 at its relaxed geometry.

POSCAR file:
```
KCrIn2
1.0
-1.4682 3.8514 2.6987
-3.2333 3.7170 0.0469
-5.5943 -3.8537 3.9190
In K Cr
2 1 1
Direct
0.5136 0.5136 0.4268
0.9864 0.9864 0.0732
0.7500 0.7500 0.7500
0.2500 0.2500 0.2500
```

Results
Its energy above the lowest structure with this stoichiometry is 125 meV/atom. Its total energy is -14.87 eV for the cell shown. As for the space group: No. 12. The value obtained for the density of states at the Fermi level is 2.60 states/eV/cell. As for the energy of formation from the pure elements: 128 kJ/mol of formula units.

***

DFT (GGA-PBE) results for crystalline KCrIn at its relaxed geometry.

POSCAR file:
```
KCrIn
1.0
6.8583 -0.0027 -0.0131
4.6231 5.0658 0.0131
-5.3618 -3.3908 2.6057
K Cr In
1 1 1
Direct
0.6700 0.6700 0.0000
0.9380 0.9380 0.0000
0.3920 0.3920 0.0000
```

Results
Its energy above the lowest structure with this stoichiometry is 0 meV/atom. Its total energy is -12.05 eV for the cell shown. As for the space group: No. 44. The value obtained for the density of states at the Fermi level is 1.60 states/eV/cell. As for the energy of formation from the pure elements: 136 kJ/mol of formula units.

***

DFT (GGA-PBE) results for crystalline KCrIn2 at its relaxed geometry.

POSCAR file:
```
KCrIn2
1.0
-7.5508 -3.5792 1.6673
-4.2403 -4.0243 6.1992
4.4519 6.2126 -3.7669
In Cr K
2 1 1
Direct
0.7387 0.2387 0.5000
0.0892 0.0892 0.0000
0.2349 0.7349 0.5000
0.4373 0.4373 0.0000
```

Results
Its energy above the lowest structure with this stoichiometry is 105 meV/atom. Its total energy is -14.95 eV for the cell shown. As for the space group: No. 44. The value obtained for the density of states at the Fermi level is 2.69 states/eV/cell. As for the energy of formation from the pure elements: 121 kJ/mol of formula units.

***

DFT (GGA-PBE) results for crystalline KCrInNi2 at its relaxed geometry.

POSCAR file:
```
KCrInNi2
1.0
4.8450 0.0000 0.0000
0.0000 5.8013 0.0000
0.0000 0.0000 4.8450
Ni Cr K In
2 1 1 1
Direct
0.5000 0.0000 0.0000
0.0000 0.0000 0.5000
0.5000 0.5000 0.5000
0.0000 0.5000 0.0000
0.0000 0.0000 0.0000
```

Results
Its total energy is -18.55 eV for the cell shown. As for the space group: No. 123. The value obtained for the density of states at the Fermi level is 3.75 states/eV/cell. As for the energy of formation from the pure elements: 625 kJ/mol of formula units.